# 1
First-principles (GGA-PBE) data for crystalline BaHfCd at its relaxed geometry, as listed in OQMD via LeMat-Bulk.

M_tot in μB/cell: 0.00
Total DFT energy (no corrections) in eV per atom: -3.45

CIF file:
```
data_BaHfCd
_chemical_formula_sum 'Ba4 Hf4 Cd4'
_cell_length_a 7.2608
_cell_length_b 7.2608
_cell_length_c 7.2608
_cell_angle_alpha 90.00
_cell_angle_beta 90.00
_cell_angle_gamma 90.00
_symmetry_space_group_name_H-M 'F -4 3 m'
_symmetry_Int_Tables_number 216
_symmetry_space_group_name_Hall 'F -4 2 3'
loop_
_atom_site_label
_atom_site_type_symbol
_atom_site_fract_x
_atom_site_fract_y
_atom_site_fract_z
Ba1 Ba 0.0000 0.0000 0.0000
Hf1 Hf 0.2500 0.2500 0.2500
Cd1 Cd 0.0000 0.0000 0.5000
```



# 2
First-principles (GGA-PBE) data for crystalline BaHf2Cd at its relaxed geometry, as listed in OQMD via LeMat-Bulk.

M_tot in μB/cell: 7.45
Total DFT energy (no corrections) in eV per atom: -5.13

CIF file:
```
data_BaHf2Cd
_chemical_formula_sum 'Ba4 Hf8 Cd4'
_cell_length_a 7.5433
_cell_length_b 7.5433
_cell_length_c 7.5433
_cell_angle_alpha 90.00
_cell_angle_beta 90.00
_cell_angle_gamma 90.00
_symmetry_space_group_name_H-M 'F -4 3 m'
_symmetry_Int_Tables_number 216
_symmetry_space_group_name_Hall 'F -4 2 3'
loop_
_atom_site_label
_atom_site_type_symbol
_atom_site_fract_x
_atom_site_fract_y
_atom_site_fract_z
Ba1 Ba 0.0000 0.0000 0.0000
Hf1 Hf 0.0000 0.0000 0.5000
Hf2 Hf 0.2500 0.2500 0.7500
Cd1 Cd 0.2500 0.2500 0.2500
```



# 3
First-principles (GGA-PBE) data for crystalline BaHfCd4 at its relaxed geometry, as listed in OQMD via LeMat-Bulk.

M_tot in μB/cell: 0.01
Total DFT energy (no corrections) in eV per atom: -2.60

CIF file:
```
data_BaHfCd4
_chemical_formula_sum 'Ba1 Hf1 Cd4'
_cell_length_a 3.5658
_cell_length_b 3.5658
_cell_length_c 11.7499
_cell_angle_alpha 90.00
_cell_angle_beta 90.00
_cell_angle_gamma 90.00
_symmetry_space_group_name_H-M 'P 4/m m m'
_symmetry_Int_Tables_number 123
_symmetry_space_group_name_Hall '-P 4 2'
loop_
_atom_site_label
_atom_site_type_symbol
_atom_site_fract_x
_atom_site_fract_y
_atom_site_fract_z
Ba1 Ba 0.0000 0.0000 0.0000
Hf1 Hf 0.5000 0.5000 0.5000
Cd1 Cd 0.0000 0.0000 0.3544
Cd2 Cd 0.5000 0.5000 0.2134
```



# 4
First-principles (GGA-PBE) data for crystalline Ba3CdHg10 at its relaxed geometry, as listed in OQMD via LeMat-Bulk.

Total DFT energy (no corrections) in eV per atom: -1.07

CIF file:
```
data_Ba3CdHg10
_chemical_formula_sum 'Ba6 Cd2 Hg20'
_cell_length_a 5.3032
_cell_length_b 10.2293
_cell_length_c 15.4069
_cell_angle_alpha 90.00
_cell_angle_beta 90.00
_cell_angle_gamma 90.00
_symmetry_space_group_name_H-M 'I m m m'
_symmetry_Int_Tables_number 71
_symmetry_space_group_name_Hall '-I 2 2'
loop_
_atom_site_label
_atom_site_type_symbol
_atom_site_fract_x
_atom_site_fract_y
_atom_site_fract_z
Ba1 Ba 0.0000 0.0000 0.0000
Ba2 Ba 0.0000 0.0000 0.2945
Cd1 Cd 0.0000 0.5000 0.0000
Hg1 Hg 0.0000 0.1747 0.5000
Hg2 Hg 0.0000 0.2920 0.1398
Hg3 Hg 0.0000 0.3562 0.3415
```



# 5
First-principles (GGA-PBE) data for crystalline BaCdHg at its relaxed geometry, as listed in OQMD via LeMat-Bulk.

Total DFT energy (no corrections) in eV per atom: -1.46

CIF file:
```
data_BaCdHg
_chemical_formula_sum 'Ba4 Cd4 Hg4'
_cell_length_a 5.3040
_cell_length_b 8.7077
_cell_length_c 8.3424
_cell_angle_alpha 90.00
_cell_angle_beta 90.00
_cell_angle_gamma 90.00
_symmetry_space_group_name_H-M 'I m a 2'
_symmetry_Int_Tables_number 46
loop_
_symmetry_equiv_pos_as_xyz
'x,y,z'
'-x,-y,z'
'-x+1/2,y,z'
'x+1/2,-y,z'
'x+1/2,y+1/2,z+1/2'
'-x+1/2,-y+1/2,z+1/2'
'-x,y+1/2,z+1/2'
'x,-y+1/2,z+1/2'
loop_
_atom_site_label
_atom_site_type_symbol
_atom_site_fract_x
_atom_site_fract_y
_atom_site_fract_z
Ba1 Ba 0.2500 0.2004 0.0000
Cd1 Cd 0.2500 0.5819 0.1858
Hg1 Hg 0.2500 0.5920 0.8104
```



# 6
First-principles (GGA-PBE) data for crystalline Ba2CdHg at its relaxed geometry, as listed in OQMD via LeMat-Bulk.

Total DFT energy (no corrections) in eV per atom: -1.50

CIF file:
```
data_Ba2CdHg
_chemical_formula_sum 'Ba8 Cd4 Hg4'
_cell_length_a 8.0603
_cell_length_b 8.0603
_cell_length_c 8.0603
_cell_angle_alpha 90.00
_cell_angle_beta 90.00
_cell_angle_gamma 90.00
_symmetry_space_group_name_H-M 'F -4 3 m'
_symmetry_Int_Tables_number 216
_symmetry_space_group_name_Hall 'F -4 2 3'
loop_
_atom_site_label
_atom_site_type_symbol
_atom_site_fract_x
_atom_site_fract_y
_atom_site_fract_z
Ba1 Ba 0.0000 0.0000 0.0000
Ba2 Ba 0.2500 0.2500 0.2500
Cd1 Cd 0.0000 0.0000 0.5000
Hg1 Hg 0.2500 0.2500 0.7500
```